# 1
DFT (PBE) results for an optimized crystal structure of SrAgIr2.

Cell: 5.440 5.440 5.440 Å, 135.90 135.90 64.14°
Element x y z (fractional)
Sr  0.000  0.000  0.000
Ag  0.500  0.500  0.000
Ir  0.250  0.750  0.500
Ir  0.750  0.250  0.500

Properties
The formation energy from the elements comes out at 478 meV/atom. Its density of states at the Fermi level is 6.56 states/eV per cell. As for the volume: 19.23 Å³ per atom. The value obtained for the energy above the lowest structure with this stoichiometry is 288 meV per atom.

***

# 2
DFT (PBE) results for an optimized crystal structure of TlSn2PS.

Cell: 5.398 5.398 4.712 Å, 90.00 90.00 90.00°
Element x y z (fractional)
Tl  0.000  0.000  0.000
Sn  0.000  0.500  0.500
Sn  0.500  0.000  0.500
P  0.500  0.500  0.000
S  0.500  0.500  0.500

Properties
For the formation energy (no corrections), the calculation gives 0.38 eV per atom. Its density of states at the Fermi level is 2.96 states/eV per cell. As for the volume: 27.45 Å³ per atom.

***

# 3
DFT (PBE) results for an optimized crystal structure of Y3Ho5Bi8.

Cell: 8.941 8.941 8.941 Å, 60.00 60.00 60.00°
Element x y z (fractional)
Y  0.000  0.500  0.500
Y  0.500  0.000  0.500
Y  0.500  0.500  0.000
Ho  0.000  0.000  0.000
Ho  0.000  0.000  0.500
Ho  0.000  0.500  0.000
Ho  0.500  0.000  0.000
Ho  0.500  0.500  0.500
Bi  0.249  0.249  0.249
Bi  0.249  0.750  0.750
Bi  0.250  0.250  0.751
Bi  0.250  0.751  0.250
Bi  0.750  0.249  0.750
Bi  0.750  0.750  0.249
Bi  0.751  0.250  0.250
Bi  0.751  0.751  0.751

Properties
The formation energy from the elements comes out at -859 meV/atom. Its density of states at the Fermi level is 3.10 states/eV per cell. As for the volume: 31.59 Å³ per atom.

***

# 4
DFT (PBE) results for an optimized crystal structure of TbY7Tl4.

Cell: 7.904 7.904 10.322 Å, 120.69 120.69 42.43°
Element x y z (fractional)
Tb  0.000  0.000  0.000
Y  0.063  0.063  0.397
Y  0.209  0.209  0.879
Y  0.273  0.273  0.332
Y  0.500  0.500  0.000
Y  0.727  0.727  0.668
Y  0.791  0.791  0.121
Y  0.937  0.937  0.603
Tl  0.315  0.315  0.666
Tl  0.440  0.440  0.252
Tl  0.560  0.560  0.748
Tl  0.685  0.685  0.334

Properties
The formation energy from the elements comes out at -45 meV/atom. Its density of states at the Fermi level is 13.70 states/eV per cell. As for the volume: 30.34 Å³ per atom.

***

# 5
DFT (PBE) results for an optimized crystal structure of Mg2TcAg.

Cell: 5.716 5.716 5.716 Å, 150.36 130.63 58.64°
Element x y z (fractional)
Mg  0.000  0.000  0.000
Mg  0.728  0.228  0.500
Tc  0.485  0.485  0.000
Ag  0.241  0.741  0.500

Properties
The formation energy from the elements comes out at 215 meV/atom. Its density of states at the Fermi level is 2.73 states/eV per cell. As for the volume: 17.39 Å³ per atom. The value obtained for the energy above the lowest structure with this stoichiometry is 128 meV per atom.

***

# 6
DFT (PBE) results for an optimized crystal structure of TaGePd3.

Cell: 4.552 4.552 4.552 Å, 90.00 90.00 90.00°
Element x y z (fractional)
Ta  0.000  0.000  0.000
Ge  0.500  0.500  0.500
Pd  0.000  0.500  0.500
Pd  0.500  0.000  0.500
Pd  0.500  0.500  0.000

Properties
The formation energy from the elements comes out at 603 meV/atom. Its density of states at the Fermi level is 7.14 states/eV per cell. As for the volume: 18.86 Å³ per atom. The value obtained for the energy above the lowest structure with this stoichiometry is 0 meV per atom.

***

# 7
DFT (PBE) results for an optimized crystal structure of MnW2Cl.

Cell: 4.977 4.977 2.778 Å, 90.00 90.00 115.77°
Element x y z (fractional)
Mn  0.000  0.000  0.000
W  0.000  0.500  0.500
W  0.500  0.000  0.500
Cl  0.500  0.500  0.000

Properties
For the formation energy (no corrections), the calculation gives 1.05 eV per atom. Its density of states at the Fermi level is 3.66 states/eV per cell. As for the volume: 15.49 Å³ per atom. The value obtained for the energy above the lowest structure with this stoichiometry is 737 meV per atom.

***

# 8
DFT (PBE) results for an optimized crystal structure of ZnPH6CBr3.

Cell: 7.319 8.550 15.657 Å, 93.85 92.06 95.76°
Element x y z (fractional)
Zn  0.000  0.000  0.000
Zn  0.018  0.303  0.543
Zn  0.490  0.886  0.043
Zn  0.541  0.479  0.473
P  0.361  0.959  0.426
P  0.420  0.445  0.923
P  0.838  0.858  0.737
P  0.918  0.410  0.246
H  0.025  0.597  0.146
H  0.091  0.355  0.260
H  0.202  0.828  0.302
H  0.225  0.063  0.439
H  0.276  0.543  0.927
H  0.307  0.277  0.800
H  0.326  0.834  0.480
H  0.375  0.977  0.274
H  0.390  0.330  0.983
H  0.441  0.791  0.307
H  0.460  0.441  0.772
H  0.537  0.035  0.449
H  0.544  0.928  0.693
H  0.551  0.278  0.819
H  0.586  0.538  0.947
H  0.658  0.832  0.606
H  0.728  0.034  0.640
H  0.763  0.725  0.776
H  0.777  0.560  0.143
H  0.780  0.283  0.246
H  0.889  0.515  0.317
H  0.894  0.979  0.802
H  0.915  0.418  0.094
H  0.995  0.815  0.696
C  0.344  0.880  0.316
C  0.436  0.351  0.818
C  0.675  0.919  0.661
C  0.908  0.507  0.148
Br  0.150  0.125  0.635
Br  0.248  0.543  0.546
Br  0.287  0.091  0.090
Br  0.418  0.645  0.111
Br  0.443  0.321  0.345
Br  0.491  0.874  0.889
Br  0.720  0.386  0.598
Br  0.725  0.714  0.439
Br  0.781  0.008  0.119
Br  0.925  0.173  0.406
Br  0.959  0.211  0.909
Br  0.985  0.734  0.939

Properties
The calculation puts the total energy at -183.762 eV/cell. Its density of states at the Fermi level is 0.00 states/eV per cell. As for the volume: 20.25 Å³ per atom.

***

# 9
DFT (PBE) results for an optimized crystal structure of AlSiSb2.

Cell: 3.173 3.173 9.084 Å, 90.00 90.00 90.00°
Element x y z (fractional)
Al  0.000  0.000  0.000
Si  0.500  0.500  0.833
Sb  0.000  0.000  0.618
Sb  0.500  0.500  0.238

Properties
For the formation energy (no corrections), the calculation gives 0.30 eV per atom. Its density of states at the Fermi level is 1.20 states/eV per cell. As for the volume: 22.87 Å³ per atom. The value obtained for the energy above the lowest structure with this stoichiometry is 135 meV per atom.

***

# 10
DFT (PBE) results for an optimized crystal structure of La2Sm5In.

Cell: 11.046 11.046 11.046 Å, 153.82 153.82 37.37°
Element x y z (fractional)
La  0.246  0.246  0.000
La  0.754  0.754  0.000
Sm  0.000  0.000  0.000
Sm  0.119  0.619  0.500
Sm  0.381  0.881  0.500
Sm  0.619  0.119  0.500
Sm  0.881  0.381  0.500
In  0.500  0.500  0.000

Properties
The formation energy from the elements comes out at -103 meV/atom. Its density of states at the Fermi level is 10.43 states/eV per cell. As for the volume: 32.75 Å³ per atom. The value obtained for the energy above the lowest structure with this stoichiometry is 0 meV per atom.

***

# 11
DFT (PBE) results for an optimized crystal structure of ZnCu2Sb.

Cell: 8.233 8.233 8.233 Å, 21.96 21.96 21.96°
Element x y z (fractional)
Zn  0.000  0.000  0.000
Cu  0.255  0.255  0.255
Cu  0.745  0.745  0.745
Sb  0.500  0.500  0.500

Properties
For the formation energy (no corrections), the calculation gives 0.28 eV per atom. Its density of states at the Fermi level is 3.45 states/eV per cell. As for the volume: 17.10 Å³ per atom. The value obtained for the energy above the lowest structure with this stoichiometry is 188 meV per atom.

***

# 12
DFT (PBE) results for an optimized crystal structure of Na3YGa.

Cell: 6.375 6.375 6.375 Å, 90.00 90.00 90.00°
Element x y z (fractional)
Na  0.000  0.000  0.500
Na  0.000  0.500  0.000
Na  0.500  0.000  0.000
Y  0.000  0.000  0.000
Ga  0.500  0.500  0.500

Properties
The formation energy from the elements comes out at 1067 meV/atom. Its density of states at the Fermi level is 8.13 states/eV per cell. As for the volume: 51.82 Å³ per atom. The value obtained for the energy above the lowest structure with this stoichiometry is 588 meV per atom.